[1]
DFT (PBE) results for a relaxed Pm2InF crystal.

Properties
Its formation energy from raw total energies is -4.62 eV per formula unit. The total energy is -18.7 eV for the cell shown.

Unit cell a=3.350 b=3.350 c=8.179 alpha=90.00 beta=90.00 gamma=90.00
Fractional positions:
Pm 0.000 0.000 0.228
Pm 0.000 0.000 0.772
In 0.500 0.500 0.500
F 0.500 0.500 0.000


[2]
DFT (PBE) results for a relaxed Pm4In2F crystal.

Properties
Its formation energy from raw total energies is -6.43 eV per formula unit. The total energy is -32.8 eV for the cell shown.

Unit cell a=9.378 b=9.378 c=9.378 alpha=150.45 beta=150.45 gamma=42.28
Fractional positions:
Pm 0.000 0.500 0.500
Pm 0.183 0.183 0.000
Pm 0.500 0.000 0.500
Pm 0.817 0.817 0.000
In 0.366 0.366 0.000
In 0.634 0.634 0.000
F 0.000 0.000 0.000


[3]
DFT (PBE) results for a relaxed PmInF crystal.

Properties
Its formation energy from raw total energies is -5.25 eV per formula unit. The total energy is -29.2 eV for the cell shown.

Unit cell a=3.526 b=3.526 c=10.002 alpha=90.00 beta=90.00 gamma=90.00
Fractional positions:
Pm 0.250 0.250 0.178
Pm 0.750 0.750 0.822
In 0.250 0.250 0.599
In 0.750 0.750 0.401
F 0.250 0.250 0.937
F 0.750 0.750 0.063


[4]
DFT (PBE) results for a relaxed Pm2InF crystal.

Properties
Its formation energy from raw total energies is -5.39 eV per formula unit. The total energy is -19.5 eV for the cell shown.

Unit cell a=8.090 b=8.090 c=8.090 alpha=27.11 beta=27.11 gamma=27.11
Fractional positions:
Pm 0.229 0.229 0.229
Pm 0.771 0.771 0.771
In 0.000 0.000 0.000
F 0.500 0.500 0.500


[5]
DFT (PBE) results for a relaxed Pm2InF11 crystal.

Properties
Its formation energy from raw total energies is -40.98 eV per formula unit. The total energy is -147.6 eV for the cell shown.

Unit cell a=8.668 b=8.668 c=8.668 alpha=120.85 beta=106.92 gamma=101.31
Fractional positions:
Pm 0.191 0.166 0.357
Pm 0.309 0.666 0.975
Pm 0.691 0.334 0.025
Pm 0.809 0.834 0.643
In 0.250 0.750 0.500
In 0.750 0.250 0.500
F 0.000 0.000 0.000
F 0.018 0.448 0.764
F 0.066 0.832 0.624
F 0.184 0.948 0.430
F 0.188 0.894 0.082
F 0.208 0.442 0.376
F 0.292 0.668 0.234
F 0.312 0.394 0.706
F 0.316 0.746 0.764
F 0.434 0.058 0.766
F 0.482 0.246 0.430
F 0.500 0.500 0.000
F 0.518 0.754 0.570
F 0.566 0.942 0.234
F 0.684 0.254 0.236
F 0.688 0.606 0.294
F 0.708 0.332 0.766
F 0.792 0.558 0.624
F 0.812 0.106 0.918
F 0.816 0.052 0.570
F 0.934 0.168 0.376
F 0.982 0.552 0.236


[6]
DFT (PBE) results for a relaxed Rb2PmInF6 crystal.

Properties
Its formation energy from raw total energies is -30.51 eV per formula unit. The total energy is -102.3 eV for the cell shown.

Unit cell a=6.702 b=6.924 c=11.604 alpha=90.00 beta=124.58 gamma=90.00
Fractional positions:
Rb 0.230 0.045 0.245
Rb 0.230 0.455 0.745
Rb 0.770 0.545 0.255
Rb 0.770 0.955 0.755
Pm 0.500 0.000 0.000
Pm 0.500 0.500 0.500
In 0.000 0.000 0.500
In 0.000 0.500 0.000
F 0.182 0.183 0.955
F 0.182 0.317 0.455
F 0.255 0.736 0.931
F 0.255 0.764 0.431
F 0.383 0.056 0.776
F 0.383 0.444 0.276
F 0.617 0.556 0.724
F 0.617 0.944 0.224
F 0.745 0.236 0.569
F 0.745 0.264 0.069
F 0.818 0.683 0.545
F 0.818 0.817 0.045


[7]
DFT (PBE) results for a relaxed Pr2InF crystal.

Properties
Its formation energy from raw total energies is -5.42 eV per formula unit. The total energy is -19.6 eV for the cell shown.

Unit cell a=8.189 b=8.189 c=8.189 alpha=27.24 beta=27.24 gamma=27.24
Fractional positions:
Pr 0.229 0.229 0.229
Pr 0.771 0.771 0.771
In 0.000 0.000 0.000
F 0.500 0.500 0.500


[8]
DFT (PBE) results for a relaxed Pr4In2F crystal.

Properties
Its formation energy from raw total energies is -6.42 eV per formula unit. The total energy is -32.9 eV for the cell shown.

Unit cell a=9.454 b=9.454 c=9.454 alpha=150.09 beta=150.09 gamma=42.81
Fractional positions:
Pr 0.000 0.500 0.500
Pr 0.183 0.183 0.000
Pr 0.500 0.000 0.500
Pr 0.817 0.817 0.000
In 0.366 0.366 0.000
In 0.634 0.634 0.000
F 0.000 0.000 0.000


[9]
DFT (PBE) results for a relaxed Pr2InF crystal.

Properties
Its formation energy from raw total energies is -4.79 eV per formula unit. The total energy is -19.0 eV for the cell shown.

Unit cell a=3.409 b=3.409 c=8.216 alpha=90.00 beta=90.00 gamma=90.00
Fractional positions:
Pr 0.000 0.000 0.228
Pr 0.000 0.000 0.772
In 0.500 0.500 0.500
F 0.500 0.500 0.000


[10]
DFT (PBE) results for a relaxed PrInF2 crystal.

Properties
Its formation energy from raw total energies is -7.84 eV per formula unit. The total energy is -19.1 eV for the cell shown.

Unit cell a=7.988 b=7.988 c=7.988 alpha=29.10 beta=29.10 gamma=29.10
Fractional positions:
Pr 0.000 0.000 0.000
In 0.500 0.500 0.500
F 0.099 0.099 0.099
F 0.901 0.901 0.901


[11]
DFT (PBE) results for a relaxed PrIn2F8 crystal.

Properties
Its formation energy from raw total energies is -30.88 eV per formula unit. The total energy is -56.1 eV for the cell shown.

Unit cell a=6.652 b=6.652 c=4.993 alpha=105.81 beta=105.81 gamma=43.72
Fractional positions:
Pr 0.000 0.000 0.000
In 0.337 0.337 0.401
In 0.663 0.663 0.599
F 0.068 0.578 0.761
F 0.107 0.107 0.673
F 0.422 0.932 0.239
F 0.483 0.483 0.236
F 0.517 0.517 0.764
F 0.578 0.068 0.761
F 0.893 0.893 0.327
F 0.932 0.422 0.239